# 1
Compound: OsPt2Au
Source: the Alexandria database
Functional: PBE-GGA
Structure: optimized geometry

CIF file:
```
data_OsPt2Au
_cell_length_a 2.754
_cell_length_b 4.811
_cell_length_c 9.758
_cell_angle_alpha 90.00
_cell_angle_beta 90.00
_cell_angle_gamma 90.00
_symmetry_space_group_name_H-M 'C m m m'
_symmetry_Int_Tables_number 65
_symmetry_space_group_name_Hall '-C 2 2'
loop_
_atom_site_label
_atom_site_fract_x
_atom_site_fract_y
_atom_site_fract_z
Os1 0.000 0.000 0.000
Pt1 0.000 0.500 0.239
Au1 0.000 0.000 0.500
```

Values from the calculation:
The relative energy among the computed polymorphs is 176 meV/atom. For the magnetic moment, the calculation gives 0.00 μB/cell.

***

# 2
Compound: OsPtAu
Source: the Alexandria database
Functional: PBE-GGA
Structure: optimized geometry

CIF file:
```
data_OsPtAu
_cell_length_a 2.797
_cell_length_b 2.797
_cell_length_c 12.253
_cell_angle_alpha 90.00
_cell_angle_beta 90.00
_cell_angle_gamma 90.00
_symmetry_space_group_name_H-M 'I 4 m m'
_symmetry_Int_Tables_number 107
_symmetry_space_group_name_Hall 'I 4 -2'
loop_
_atom_site_label
_atom_site_fract_x
_atom_site_fract_y
_atom_site_fract_z
Os1 0.000 0.000 0.000
Pt1 0.000 0.000 0.648
Au1 0.000 0.000 0.328
```

Values from the calculation:
The relative energy among the computed polymorphs is 48 meV/atom. For the magnetic moment, the calculation gives 0.00 μB/cell.

***

# 3
Compound: Os2PtAu
Source: the Alexandria database
Functional: PBE-GGA
Structure: optimized geometry

CIF file:
```
data_Os2PtAu
_cell_length_a 2.732
_cell_length_b 4.755
_cell_length_c 9.748
_cell_angle_alpha 90.00
_cell_angle_beta 90.00
_cell_angle_gamma 90.00
_symmetry_space_group_name_H-M 'C m m m'
_symmetry_Int_Tables_number 65
_symmetry_space_group_name_Hall '-C 2 2'
loop_
_atom_site_label
_atom_site_fract_x
_atom_site_fract_y
_atom_site_fract_z
Os1 0.000 0.000 0.243
Pt1 0.000 0.500 0.000
Au1 0.000 0.500 0.500
```

Values from the calculation:
The relative energy among the computed polymorphs is 445 meV/atom. For the magnetic moment, the calculation gives 0.00 μB/cell.

***

# 4
Compound: OsPtAu2
Source: the Alexandria database
Functional: PBE-GGA
Structure: optimized geometry

CIF file:
```
data_OsPtAu2
_cell_length_a 2.786
_cell_length_b 4.826
_cell_length_c 9.951
_cell_angle_alpha 90.00
_cell_angle_beta 90.00
_cell_angle_gamma 90.00
_symmetry_space_group_name_H-M 'C m m 2'
_symmetry_Int_Tables_number 35
loop_
_symmetry_equiv_pos_as_xyz
'x,y,z'
'-x,-y,z'
'-x,y,z'
'x,-y,z'
'x+1/2,y+1/2,z'
'-x+1/2,-y+1/2,z'
'-x+1/2,y+1/2,z'
'x+1/2,-y+1/2,z'
loop_
_atom_site_label
_atom_site_fract_x
_atom_site_fract_y
_atom_site_fract_z
Os1 0.000 0.000 0.000
Pt1 0.000 0.500 0.770
Au1 0.000 0.000 0.514
Au2 0.000 0.500 0.251
```

Values from the calculation:
The relative energy among the computed polymorphs is 117 meV/atom. For the magnetic moment, the calculation gives 0.00 μB/cell.

***

# 5
Compound: OsPtAu3
Source: the Alexandria database
Functional: PBE-GGA
Structure: optimized geometry

CIF file:
```
data_OsPtAu3
_cell_length_a 5.006
_cell_length_b 5.006
_cell_length_c 5.006
_cell_angle_alpha 90.00
_cell_angle_beta 90.00
_cell_angle_gamma 90.00
_symmetry_space_group_name_H-M 'P m -3 m'
_symmetry_Int_Tables_number 221
_symmetry_space_group_name_Hall '-P 4 2 3'
loop_
_atom_site_label
_atom_site_fract_x
_atom_site_fract_y
_atom_site_fract_z
Os1 0.000 0.000 0.000
Pt1 0.500 0.500 0.500
Au1 0.000 0.500 0.500
```

Values from the calculation:
The relative energy among the computed polymorphs is 129 meV/atom. For the magnetic moment, the calculation gives 3.54 μB/cell.

***

# 6
Compound: OsPtAu
Source: the Alexandria database
Functional: PBE-GGA
Structure: optimized geometry

CIF file:
```
data_OsPtAu
_cell_length_a 14.383
_cell_length_b 2.698
_cell_length_c 5.643
_cell_angle_alpha 90.00
_cell_angle_beta 105.29
_cell_angle_gamma 90.00
_symmetry_space_group_name_H-M 'C 1 2/m 1'
_symmetry_Int_Tables_number 12
loop_
_symmetry_equiv_pos_as_xyz
'x,y,z'
'-x,-y,-z'
'-x,y,-z'
'x,-y,z'
'x+1/2,y+1/2,z'
'-x+1/2,-y+1/2,-z'
'-x+1/2,y+1/2,-z'
'x+1/2,-y+1/2,z'
loop_
_atom_site_label
_atom_site_fract_x
_atom_site_fract_y
_atom_site_fract_z
Os1 0.001 0.000 0.294
Pt1 0.142 0.000 0.094
Au1 0.184 0.000 0.631
```

Values from the calculation:
The relative energy among the computed polymorphs is 270 meV/atom. For the magnetic moment, the calculation gives 0.00 μB/cell.

***

# 7
Compound: OsPt2Au
Source: the Alexandria database
Functional: PBE-GGA
Structure: optimized geometry

CIF file:
```
data_OsPt2Au
_cell_length_a 2.726
_cell_length_b 4.855
_cell_length_c 4.861
_cell_angle_alpha 90.00
_cell_angle_beta 90.00
_cell_angle_gamma 90.00
_symmetry_space_group_name_H-M 'P m m m'
_symmetry_Int_Tables_number 47
loop_
_symmetry_equiv_pos_as_xyz
'x,y,z'
'-x,-y,-z'
'-x,-y,z'
'x,y,-z'
'x,-y,-z'
'-x,y,z'
'-x,y,-z'
'x,-y,z'
loop_
_atom_site_label
_atom_site_fract_x
_atom_site_fract_y
_atom_site_fract_z
Os1 0.000 0.000 0.000
Pt1 0.000 0.500 0.500
Pt2 0.500 0.500 0.000
Au1 0.500 0.000 0.500
```

Values from the calculation:
The relative energy among the computed polymorphs is 357 meV/atom. For the magnetic moment, the calculation gives 0.00 μB/cell.

***

# 8
Compound: OsPtAu2
Source: the Alexandria database
Functional: PBE-GGA
Structure: optimized geometry

CIF file:
```
data_OsPtAu2
_cell_length_a 4.089
_cell_length_b 4.089
_cell_length_c 3.918
_cell_angle_alpha 90.00
_cell_angle_beta 90.00
_cell_angle_gamma 90.00
_symmetry_space_group_name_H-M 'P 4/m m m'
_symmetry_Int_Tables_number 123
_symmetry_space_group_name_Hall '-P 4 2'
loop_
_atom_site_label
_atom_site_fract_x
_atom_site_fract_y
_atom_site_fract_z
Os1 0.000 0.000 0.000
Pt1 0.500 0.500 0.000
Au1 0.000 0.500 0.500
```

Values from the calculation:
The relative energy among the computed polymorphs is 369 meV/atom. For the magnetic moment, the calculation gives 0.00 μB/cell.

***

# 9
Compound: Pu4OsPt2Au
Source: the Alexandria database
Functional: PBE-GGA
Structure: optimized geometry

CIF file:
```
data_Pu4OsPt2Au
_cell_length_a 4.9724
_cell_length_b 4.9724
_cell_length_c 24.1925
_cell_angle_alpha 90.00
_cell_angle_beta 90.00
_cell_angle_gamma 120.00
_symmetry_space_group_name_H-M 'R -3 m'
_symmetry_Int_Tables_number 166
_symmetry_space_group_name_Hall '-R 3 2"'
loop_
_atom_site_label
_atom_site_fract_x
_atom_site_fract_y
_atom_site_fract_z
Pu1 0.0000 0.0000 0.1180
Pu2 0.0000 0.0000 0.3688
Os1 0.0000 0.0000 0.0000
Pt1 0.0000 0.0000 0.2459
Au1 0.0000 0.0000 0.5000
```

Values from the calculation:
The raw total energy comes out at -10.932 eV per atom. For the magnetic moment, the calculation gives 63.68 μB/cell.

***

# 10
Compound: Pu5OsAu2
Source: the Alexandria database
Functional: PBE-GGA
Structure: optimized geometry

CIF file:
```
data_Pu5OsAu2
_cell_length_a 6.260
_cell_length_b 11.778
_cell_length_c 5.039
_cell_angle_alpha 90.00
_cell_angle_beta 90.00
_cell_angle_gamma 90.00
_symmetry_space_group_name_H-M 'P b a m'
_symmetry_Int_Tables_number 55
loop_
_symmetry_equiv_pos_as_xyz
'x,y,z'
'-x,-y,-z'
'-x,-y,z'
'x,y,-z'
'x+1/2,-y+1/2,-z'
'-x+1/2,y+1/2,z'
'-x+1/2,y+1/2,-z'
'x+1/2,-y+1/2,z'
loop_
_atom_site_label
_atom_site_fract_x
_atom_site_fract_y
_atom_site_fract_z
Pu1 0.000 0.000 0.000
Pu2 0.129 0.395 0.500
Pu3 0.149 0.731 0.000
Os1 0.000 0.500 0.000
Au1 0.113 0.136 0.500
```

Values from the calculation:
The raw total energy comes out at -11.325 eV per atom. For the magnetic moment, the calculation gives 34.10 μB/cell.

***

# 11
Compound: Pu3OsAu
Source: the Alexandria database
Functional: PBE-GGA
Structure: optimized geometry

CIF file:
```
data_Pu3OsAu
_cell_length_a 6.985
_cell_length_b 6.985
_cell_length_c 6.985
_cell_angle_alpha 90.00
_cell_angle_beta 90.00
_cell_angle_gamma 90.00
_symmetry_space_group_name_H-M 'P m -3 m'
_symmetry_Int_Tables_number 221
_symmetry_space_group_name_Hall '-P 4 2 3'
loop_
_atom_site_label
_atom_site_fract_x
_atom_site_fract_y
_atom_site_fract_z
Pu1 0.000 0.000 0.000
Pu2 0.268 0.268 0.268
Os1 0.000 0.500 0.500
Au1 0.000 0.000 0.500
```

Values from the calculation:
The raw total energy comes out at -11.547 eV per atom. For the magnetic moment, the calculation gives 48.06 μB/cell.

***

# 12
Compound: Pu5OsAu
Source: the Alexandria database
Functional: PBE-GGA
Structure: optimized geometry

CIF file:
```
data_Pu5OsAu
_cell_length_a 4.978
_cell_length_b 4.978
_cell_length_c 6.579
_cell_angle_alpha 90.00
_cell_angle_beta 90.00
_cell_angle_gamma 90.00
_symmetry_space_group_name_H-M 'P 4/m m m'
_symmetry_Int_Tables_number 123
_symmetry_space_group_name_Hall '-P 4 2'
loop_
_atom_site_label
_atom_site_fract_x
_atom_site_fract_y
_atom_site_fract_z
Pu1 0.000 0.000 0.000
Pu2 0.000 0.500 0.270
Os1 0.000 0.000 0.500
Au1 0.500 0.500 0.000
```

Values from the calculation:
The raw total energy comes out at -12.315 eV per atom. For the magnetic moment, the calculation gives 16.58 μB/cell.

***

What is the formula in the ninth record?
Pu4OsPt2Au